Material: K4GeS4
Method: DFT, PBE
State: optimized geometry

a b c (Å): 6.893 8.861 8.861
angles (deg): 90.00 90.00 90.00
Atoms (fractional coordinates):
K1 0.348 0.272 0.000
K2 0.848 0.500 0.772
K3 0.348 0.728 0.000
K4 0.152 0.228 0.500
K5 0.652 0.000 0.728
K6 0.152 0.772 0.500
K7 0.848 0.500 0.228
K8 0.652 0.000 0.272
Ge1 0.000 0.000 0.000
Ge2 0.500 0.500 0.500
S1 0.684 0.710 0.500
S2 0.684 0.290 0.500
S3 0.184 0.000 0.790
S4 0.816 0.210 0.000
S5 0.816 0.790 0.000
S6 0.316 0.500 0.290
S7 0.316 0.500 0.710
S8 0.184 0.000 0.210

Summary:
The calculation puts the density of states at the Fermi level at 0.00 states/eV per cell. As for the symmetry: P4_2/nmc (137). As for the total energy: -70.00 eV for the cell shown. The calculation puts the formation energy without anion corrections at -1.0539 eV per atom.